Computed, not measured: crystalline NaCr2CuO8 at its relaxed geometry at the PBE+U level of DFT.

Cell: 4.9700 4.9700 8.0590 Å, 72.04 72.04 60.00°
Positions (direct):
Na 0.5000 0.5000 0.5000
Cr 0.2579 0.2579 0.2263
Cr 0.7421 0.7421 0.7737
Cu 0.0000 0.0000 0.0000
O 0.1856 0.1856 0.4431
O 0.6154 0.2539 0.1587
O 0.8144 0.8144 0.5569
O 0.9720 0.6154 0.1587
O 0.0280 0.3846 0.8413
O 0.2539 0.9720 0.1587
O 0.7461 0.0280 0.8413
O 0.3846 0.7461 0.8413

Computed properties:
The final energy is -72.421 eV/cell. The value obtained for the volume is 161.10 Å³ per cell. For the spin magnetization, the calculation gives 0.16 μB/atom.